Compound: Th5Ga2Co
Source: Alexandria via LeMat-Bulk
Functional: PBE
Structure: relaxed

Computed properties:
DFT formation energy ... -0.07 eV/atom
Uncorrected energy ... -6.354 eV per atom
Fermi-level density of states ... 1.23 states/eV/atom

Cell lengths 10.5733, 7.6277, 7.3258 Å; angles 90.00, 133.62, 90.00 degrees
Space group Cm (No. 8)
Inequivalent atoms, fractional coordinates:
1 Th 0.0000 0.0000 0.0000 (multiplicity 2)
2 Th 0.2623 0.2427 0.5545 (multiplicity 4)
3 Th 0.2699 0.2488 0.0670 (multiplicity 4)
4 Ga 0.0170 0.5000 0.0569 (multiplicity 2)
5 Ga 0.0276 0.5000 0.5697 (multiplicity 2)
6 Co 0.0113 0.0000 0.3998 (multiplicity 2)